VASP calculation (GGA-PBE) on an optimized crystal structure of Al2HgAs2.

Cell and atoms, written as CIF:
```
data_Al2HgAs2
_chemical_formula_sum 'Al2 Hg1 As2'
_symmetry_space_group_name_H-M 'P 1'
_symmetry_Int_Tables_number 1
_cell_length_a 9.0468
_cell_length_b 9.0468
_cell_length_c 9.0468
_cell_angle_alpha 154.30
_cell_angle_beta 154.30
_cell_angle_gamma 36.67
loop_
_symmetry_equiv_pos_as_xyz
'x,y,z'
loop_
_atom_site_label
_atom_site_type_symbol
_atom_site_fract_x
_atom_site_fract_y
_atom_site_fract_z
Al1 Al 0.2500 0.7500 0.5000
Al2 Al 0.7500 0.2500 0.5000
Hg1 Hg 0.0000 0.0000 0.0000
As1 As 0.3411 0.3411 0.0000
As2 As 0.6589 0.6589 0.0000
```

Values from the calculation:
* crystal system: tetragonal
* DFT formation energy: -0.202 eV/atom
* energy relative to the lowest polymorph listed for this composition: 0 meV/atom
* D(E_F): 0.0000 states/eV/atom

---

VASP calculation (GGA-PBE) on an optimized crystal structure of Cd2Ru3O8.

Cell and atoms, written as CIF:
```
data_Cd2Ru3O8
_chemical_formula_sum 'Cd2 Ru3 O8'
_symmetry_space_group_name_H-M 'P 1'
_symmetry_Int_Tables_number 1
_cell_length_a 6.4168
_cell_length_b 6.4168
_cell_length_c 5.3350
_cell_angle_alpha 108.89
_cell_angle_beta 108.89
_cell_angle_gamma 53.38
loop_
_symmetry_equiv_pos_as_xyz
'x,y,z'
loop_
_atom_site_label
_atom_site_type_symbol
_atom_site_fract_x
_atom_site_fract_y
_atom_site_fract_z
Cd1 Cd 0.2299 0.2299 0.1682
Cd2 Cd 0.7701 0.7701 0.8318
Ru1 Ru 0.2139 0.7861 0.5000
Ru2 Ru 0.5000 0.5000 0.0000
Ru3 Ru 0.7861 0.2139 0.5000
O1 O 0.1252 0.1252 0.4591
O2 O 0.1637 0.6287 0.1073
O3 O 0.3713 0.8363 0.8927
O4 O 0.4075 0.4075 0.5843
O5 O 0.5925 0.5925 0.4157
O6 O 0.6287 0.1637 0.1073
O7 O 0.8363 0.3713 0.8927
O8 O 0.8748 0.8748 0.5409
```

Values from the calculation:
* formation energy without anion corrections: -924 meV/atom
* crystal system: monoclinic
* D(E_F): 0.4459 states/eV/atom

---

VASP calculation (GGA-PBE) on an optimized crystal structure of Mg2GePd2.

Cell and atoms, written as CIF:
```
data_Mg2GePd2
_chemical_formula_sum 'Mg4 Ge2 Pd4'
_symmetry_space_group_name_H-M 'P 1'
_symmetry_Int_Tables_number 1
_cell_length_a 8.0298
_cell_length_b 8.0298
_cell_length_c 4.7138
_cell_angle_alpha 90.00
_cell_angle_beta 90.00
_cell_angle_gamma 147.02
loop_
_symmetry_equiv_pos_as_xyz
'x,y,z'
loop_
_atom_site_label
_atom_site_type_symbol
_atom_site_fract_x
_atom_site_fract_y
_atom_site_fract_z
Mg1 Mg 0.0546 0.9454 0.5000
Mg2 Mg 0.2503 0.7497 0.4991
Mg3 Mg 0.7497 0.2503 0.9991
Mg4 Mg 0.9454 0.0546 0.0000
Ge1 Ge 0.4387 0.5613 0.4989
Ge2 Ge 0.5613 0.4387 0.9989
Pd1 Pd 0.1394 0.8606 0.0000
Pd2 Pd 0.3520 0.6480 0.9988
Pd3 Pd 0.6480 0.3520 0.4988
Pd4 Pd 0.8606 0.1394 0.5000
```

Values from the calculation:
* crystal system: orthorhombic
* DFT formation energy: -0.562 eV/atom
* energy relative to the lowest polymorph listed for this composition: 0 meV/atom
* D(E_F): 0.3620 states/eV/atom

---

VASP calculation (GGA-PBE) on an optimized crystal structure of ReBSbI2.

Cell and atoms, written as CIF:
```
data_ReBSbI2
_chemical_formula_sum 'Re1 B1 Sb1 I2'
_symmetry_space_group_name_H-M 'P 1'
_symmetry_Int_Tables_number 1
_cell_length_a 4.7640
_cell_length_b 4.7640
_cell_length_c 4.7074
_cell_angle_alpha 90.00
_cell_angle_beta 90.00
_cell_angle_gamma 90.00
loop_
_symmetry_equiv_pos_as_xyz
'x,y,z'
loop_
_atom_site_label
_atom_site_type_symbol
_atom_site_fract_x
_atom_site_fract_y
_atom_site_fract_z
Re1 Re 0.0000 0.0000 0.0000
B1 B 0.5000 0.5000 0.5000
Sb1 Sb 0.5000 0.5000 0.0000
I1 I 0.0000 0.5000 0.5000
I2 I 0.5000 0.0000 0.5000
```

Values from the calculation:
* formation energy without anion corrections: 1788 meV/atom
* crystal system: tetragonal
* energy relative to the lowest polymorph listed for this composition: 150 meV/atom
* D(E_F): 0.7951 states/eV/atom

---

VASP calculation (GGA-PBE) on an optimized crystal structure of PmHo2ScTe4.

Cell and atoms, written as CIF:
```
data_PmHo2ScTe4
_chemical_formula_sum 'Pm1 Ho2 Sc1 Te4'
_symmetry_space_group_name_H-M 'P 1'
_symmetry_Int_Tables_number 1
_cell_length_a 7.5117
_cell_length_b 4.2881
_cell_length_c 7.5618
_cell_angle_alpha 90.00
_cell_angle_beta 108.90
_cell_angle_gamma 90.00
loop_
_symmetry_equiv_pos_as_xyz
'x,y,z'
loop_
_atom_site_label
_atom_site_type_symbol
_atom_site_fract_x
_atom_site_fract_y
_atom_site_fract_z
Pm1 Pm 0.0000 0.0000 0.0000
Ho1 Ho 0.5000 0.0000 0.5000
Ho2 Ho 0.5000 0.5000 0.0000
Sc1 Sc 0.0000 0.5000 0.5000
Te1 Te 0.2454 0.0000 0.7383
Te2 Te 0.2530 0.5000 0.2612
Te3 Te 0.7470 0.5000 0.7388
Te4 Te 0.7546 0.0000 0.2617
```

Values from the calculation:
* formation energy without anion corrections: -1235 meV/atom
* crystal system: monoclinic
* D(E_F): 0.6657 states/eV/atom

---

VASP calculation (GGA-PBE) on an optimized crystal structure of CoPtI2.

Cell and atoms, written as CIF:
```
data_CoPtI2
_chemical_formula_sum 'Co1 Pt1 I2'
_symmetry_space_group_name_H-M 'P 1'
_symmetry_Int_Tables_number 1
_cell_length_a 4.9708
_cell_length_b 4.9708
_cell_length_c 4.9708
_cell_angle_alpha 60.00
_cell_angle_beta 60.00
_cell_angle_gamma 60.00
loop_
_symmetry_equiv_pos_as_xyz
'x,y,z'
loop_
_atom_site_label
_atom_site_type_symbol
_atom_site_fract_x
_atom_site_fract_y
_atom_site_fract_z
Co1 Co 0.0000 0.0000 0.0000
Pt1 Pt 0.5000 0.5000 0.5000
I1 I 0.2500 0.2500 0.2500
I2 I 0.7500 0.7500 0.7500
```

Values from the calculation:
* formation energy without anion corrections: 928 meV/atom
* crystal system: cubic
* energy relative to the lowest polymorph listed for this composition: 541 meV/atom
* D(E_F): 1.5661 states/eV/atom